Here is a relaxed structure of GaFe2TeW from Alexandria. Energies are from PBE.

The density of states at the Fermi level comes out at 0.924 states/eV per atom. The calculation puts the raw formation energy at 7.89 eV per formula unit.

It has space group P4/mmm (No. 123), with a = 4.530 Å, b = 4.530 Å, c = 4.961 Å, α = 90.00°, β = 90.00° and γ = 90.00°. The inequivalent atoms are Ga at (0.000, 0.000, 0.000), Fe at (0.000, 0.500, 0.500), Te at (0.500, 0.500, 0.500) and W at (0.500, 0.500, 0.000).

=====

Here is a relaxed structure of Tl3Tc from Alexandria. Energies are from PBE.

The density of states at the Fermi level comes out at 0.792 states/eV per atom. For the energy of formation from the pure elements, the calculation gives 0.81 eV/atom. Its offset from the most stable computed form is 0.415 eV/atom.

It has space group Pm-3n (No. 223), with a = 5.738 Å, b = 5.738 Å, c = 5.738 Å, α = 90.00°, β = 90.00° and γ = 90.00°. The inequivalent atoms are Tl at (0.000, 0.250, 0.500) and Tc at (0.000, 0.000, 0.000).

=====

Here is a relaxed structure of KYCl2 from Alexandria. Energies are from PBE.

The density of states at the Fermi level comes out at 0.524 states/eV per atom. Its offset from the most stable computed form is 0.122 eV/atom. The calculation puts the raw formation energy at -5.41 eV per formula unit.

It has space group Cm (No. 8), with a = 15.727 Å, b = 3.887 Å, c = 3.788 Å, α = 90.00°, β = 90.16° and γ = 90.00°. The inequivalent atoms are K at (0.000, 0.000, 0.000), Y at (0.243, 0.000, 0.503), Cl at (0.113, 0.500, 0.501) and Cl at (0.298, 0.500, 0.004).

=====

Here is a relaxed structure of BaScB2 from Alexandria. Energies are from PBE.

The density of states at the Fermi level comes out at 1.138 states/eV per atom. For the energy of formation from the pure elements, the calculation gives 1.00 eV/atom. Its offset from the most stable computed form is 0.095 eV/atom.

It has space group Fm-3m (No. 225), with a = 6.760 Å, b = 6.760 Å, c = 6.760 Å, α = 90.00°, β = 90.00° and γ = 90.00°. The inequivalent atoms are Ba at (0.000, 0.000, 0.000), Sc at (0.000, 0.000, 0.500) and B at (0.250, 0.250, 0.250).

=====

> Number 3 is which compound?

KYCl2